No. 1
Here is a relaxed Ce2SbRh6 crystal from Alexandria. Energies are from PBE.

Properties
Total magnetic moment: 0.00 μB/cell
Raw total energy: -65.71 eV per cell
Volume: 167 Å³/cell
Symmetry: No. 12
Energy relative to the elements, uncorrected: -0.623 eV per atom

```
Ce2SbRh6
1.0
-2.327 4.777 -1.782
-2.461 -2.990 4.012
2.075 2.958 5.219
Ce Sb Rh
2 1 6
Direct
0.637 0.274 0.189
0.363 0.726 0.811
0.000 0.000 0.000
0.880 0.280 0.680
0.884 0.769 0.671
0.401 0.280 0.680
0.120 0.720 0.320
0.116 0.231 0.329
0.599 0.720 0.320
```


No. 2
Here is a relaxed Ho3CuPb crystal from Alexandria. Energies are from PBE.

Properties
Total magnetic moment: 0.00 μB/cell
Raw total energy: -46.08 eV per cell
Volume: 258 Å³/cell
Energy of formation: -29.0 kJ/mol of atoms
Symmetry: No. 12

```
Ho3CuPb
1.0
-0.961 0.384 4.887
3.890 -2.133 0.932
3.431 11.114 0.090
Ho Cu Pb
6 2 2
Direct
0.752 0.948 0.896
0.248 0.052 0.104
0.223 0.680 0.360
0.777 0.320 0.640
0.261 0.834 0.668
0.739 0.166 0.332
0.312 0.253 0.506
0.688 0.747 0.494
0.254 0.435 0.870
0.746 0.565 0.130
```


No. 3
Here is a relaxed CsRuI2O crystal from Alexandria. Energies are from PBE.

Properties
Total magnetic moment: 3.71 μB/cell
Raw total energy: -12.79 eV per cell
Volume: 202 Å³/cell
Symmetry: No. 123
Energy relative to the elements, uncorrected: 1.079 eV per atom

```
CsRuI2O
1.0
-1.496 -5.225 4.098
4.490 -3.890 -3.322
3.134 1.264 2.755
Cs I O Ru
1 2 1 1
Direct
0.000 0.000 0.000
0.000 0.500 0.000
0.500 0.000 0.000
0.000 0.000 0.500
0.500 0.500 0.500
```


No. 4
Here is a relaxed Dy4TlTe3 crystal from Alexandria. Energies are from PBE.

Properties
Total magnetic moment: 0.00 μB/cell
Raw total energy: -38.79 eV per cell
Volume: 237 Å³/cell
Symmetry: No. 65
Energy relative to the elements, uncorrected: -1.074 eV per atom

```
Dy4TlTe3
1.0
-2.903 3.093 0.980
-1.504 -3.495 6.576
5.650 4.969 1.054
Dy Tl Te
4 1 3
Direct
0.000 0.241 0.241
0.500 0.757 0.243
0.000 0.759 0.759
0.500 0.243 0.757
0.500 0.000 0.000
0.000 0.000 0.500
0.500 0.500 0.500
0.000 0.500 0.000
```